*w*
{
  "formula": "LaY2Er4",
  "functional": "PBE",
  "state": "relaxed",
  "space_group": "P1 (1)",
  "lattice": [[-3.170, 1.979, 6.061], [-4.215, -6.392, -2.209], [7.133, -2.279, 4.472]],
  "species": ["Y", "Y", "Y", "Y", "Er", "Er", "Er", "Er", "Er", "Er", "Er", "Er", "La", "La"],
  "frac_coords": [[0.553, 0.841, 0.179], [0.767, 0.694, 0.463], [0.127, 0.131, 0.608], [0.696, 0.412, 0.035], [0.910, 0.267, 0.321], [0.055, 0.840, 0.178], [0.340, 0.983, 0.894], [0.982, 0.550, 0.751], [0.197, 0.412, 0.037], [0.410, 0.265, 0.319], [0.626, 0.130, 0.607], [0.481, 0.551, 0.751], [0.839, 0.981, 0.895], [0.267, 0.694, 0.463]]
}

***

*x*
{
  "formula": "LaY2Er4",
  "functional": "PBE",
  "state": "relaxed",
  "space_group": "P2_1/m (11)",
  "lattice": [[6.116, 0.000, -0.422], [0.000, 6.564, 0.000], [-2.676, 0.000, 11.333]],
  "species": ["Er", "Er", "Er", "Er", "Er", "Er", "Er", "Er", "Y", "Y", "Y", "Y", "La", "La"],
  "frac_coords": [[0.358, 0.510, 0.710], [0.137, 0.750, 0.422], [0.018, 0.250, 0.166], [0.642, 0.490, 0.290], [0.358, 0.990, 0.710], [0.642, 0.010, 0.290], [0.982, 0.750, 0.834], [0.863, 0.250, 0.578], [0.619, 0.750, 0.011], [0.297, 0.250, 0.451], [0.381, 0.250, 0.989], [0.703, 0.750, 0.549], [0.190, 0.750, 0.136], [0.810, 0.250, 0.864]]
}

***

Ranked by calculated energy, most stable first: *w*, *x*.

***

*w*
{
  "formula": "La2Y3Er7",
  "functional": "PBE",
  "state": "relaxed",
  "space_group": "Cmmm (65)",
  "lattice": [[5.823, 0.000, 0.000], [0.000, 5.672, 0.000], [0.000, -2.836, 12.325]],
  "species": ["Er", "Er", "Er", "Er", "Er", "Er", "Er", "La", "La", "Y", "Y", "Y"],
  "frac_coords": [[0.000, 0.422, 0.843], [0.500, 0.927, 0.853], [0.000, 0.277, 0.554], [0.000, 0.578, 0.157], [0.500, 0.073, 0.147], [0.000, 0.723, 0.446], [0.000, 0.000, 0.000], [0.000, 0.850, 0.700], [0.000, 0.150, 0.300], [0.500, 0.322, 0.644], [0.500, 0.500, 0.000], [0.500, 0.678, 0.356]]
}

***

*x*
{
  "formula": "La2Y3Er7",
  "functional": "PBE",
  "state": "relaxed",
  "space_group": "P2/m (10)",
  "lattice": [[-1.470, -1.645, -2.738], [-4.933, -1.654, 3.642], [-11.671, 13.488, -1.837]],
  "species": ["La", "La", "Y", "Y", "Y", "Er", "Er", "Er", "Er", "Er", "Er", "Er"],
  "frac_coords": [[0.500, 0.616, 0.327], [0.500, 0.384, 0.673], [0.000, 0.889, 0.657], [0.000, 0.111, 0.343], [0.500, 0.500, 0.000], [0.000, 0.562, 0.162], [0.500, 0.937, 0.835], [0.500, 0.758, 0.499], [0.500, 0.242, 0.501], [0.000, 0.000, 0.000], [0.500, 0.063, 0.165], [0.000, 0.438, 0.838]]
}

***

Ranked by calculated energy, most stable first: *x*, *w*.

***

*w*
{
  "formula": "LaY8Er2",
  "functional": "PBE",
  "state": "relaxed",
  "space_group": "Immm (71)",
  "lattice": [[-4.367, -2.245, -2.495], [2.755, -7.478, 1.905], [-3.284, 5.119, 7.224]],
  "species": ["La", "Y", "Y", "Y", "Y", "Y", "Y", "Y", "Y", "Er", "Er"],
  "frac_coords": [[0.500, 0.000, 0.000], [0.642, 0.849, 0.284], [0.164, 0.164, 0.328], [0.358, 0.565, 0.716], [0.642, 0.435, 0.284], [0.000, 0.703, 0.000], [0.836, 0.836, 0.672], [0.000, 0.297, 0.000], [0.358, 0.151, 0.716], [0.801, 0.301, 0.602], [0.199, 0.699, 0.398]]
}

***

*x*
{
  "formula": "LaY8Er2",
  "functional": "PBE",
  "state": "relaxed",
  "space_group": "C2/m (12)",
  "lattice": [[5.511, -0.512, -0.358], [0.609, 9.901, 2.651], [0.609, 5.896, 8.384]],
  "species": ["Y", "Y", "Y", "Y", "Y", "Y", "Y", "Y", "Er", "Er", "La"],
  "frac_coords": [[0.235, 0.190, 0.190], [0.268, 0.598, 0.132], [0.268, 0.132, 0.598], [0.762, 0.453, 0.453], [0.238, 0.547, 0.547], [0.732, 0.402, 0.868], [0.732, 0.868, 0.402], [0.765, 0.810, 0.810], [0.248, 0.715, 0.715], [0.752, 0.285, 0.285], [0.000, 0.000, 0.000]]
}

***

Ranked by calculated energy, most stable first: *w*, *x*.

***

*w*
{
  "formula": "LaY4Er",
  "functional": "PBE",
  "state": "relaxed",
  "space_group": "Pm (6)",
  "lattice": [[3.525, 0.336, 0.312], [-0.518, 5.438, -0.004], [0.856, 0.089, 10.298]],
  "species": ["Er", "Y", "Y", "Y", "Y", "La"],
  "frac_coords": [[0.787, 0.501, 0.003], [0.707, 0.001, 0.166], [0.134, 0.501, 0.313], [0.361, 0.001, 0.856], [0.953, 0.501, 0.674], [0.542, 0.001, 0.499]]
}

***

*x*
{
  "formula": "LaY4Er",
  "functional": "PBE",
  "state": "relaxed",
  "space_group": "C2/m (12)",
  "lattice": [[-4.479, 7.429, -4.723], [-5.082, -2.073, 1.555], [5.302, 5.892, 4.245]],
  "species": ["Y", "Y", "Y", "Y", "Y", "Y", "Y", "Y", "La", "La", "Er", "Er"],
  "frac_coords": [[0.167, 0.245, 0.744], [0.333, 0.745, 0.744], [0.166, 0.755, 0.256], [0.833, 0.755, 0.256], [0.333, 0.255, 0.256], [0.667, 0.745, 0.744], [0.667, 0.255, 0.256], [0.834, 0.245, 0.744], [0.000, 0.000, 0.000], [0.500, 0.500, 0.000], [0.500, 0.000, 0.500], [0.000, 0.500, 0.500]]
}

***

Ranked by calculated energy, most stable first: *w*, *x*.

***

*w*
{
  "formula": "La2Y5Er4",
  "functional": "PBE",
  "state": "relaxed",
  "space_group": "C2/m (12)",
  "lattice": [[3.514, 0.000, 0.000], [0.000, 9.012, -0.644], [-1.757, -4.016, 11.948]],
  "species": ["Y", "Y", "Y", "Y", "Y", "La", "La", "Er", "Er", "Er", "Er"],
  "frac_coords": [[0.500, 0.000, 0.000], [0.161, 0.930, 0.323], [0.125, 0.281, 0.250], [0.875, 0.719, 0.750], [0.839, 0.070, 0.677], [0.734, 0.678, 0.469], [0.266, 0.322, 0.531], [0.989, 0.300, 0.978], [0.404, 0.430, 0.808], [0.011, 0.700, 0.022], [0.596, 0.570, 0.192]]
}

***

*x*
{
  "formula": "La2Y5Er4",
  "functional": "PBE",
  "state": "relaxed",
  "space_group": "P-1 (2)",
  "lattice": [[3.482, -0.121, -0.734], [-0.646, 11.529, -1.394], [-0.311, 0.271, 9.045]],
  "species": ["Er", "Er", "Er", "Er", "Y", "Y", "Y", "Y", "Y", "La", "La"],
  "frac_coords": [[0.434, 0.203, 0.733], [0.135, 0.259, 0.072], [0.865, 0.741, 0.928], [0.566, 0.797, 0.267], [0.500, 0.000, 0.000], [0.824, 0.936, 0.645], [0.176, 0.064, 0.355], [0.879, 0.528, 0.169], [0.121, 0.472, 0.831], [0.748, 0.344, 0.447], [0.252, 0.656, 0.553]]
}

***

Ranked by calculated energy, most stable first: *x*, *w*.